1.
## PrSmH4 (PBE)

Data for a relaxed structure of PrSmH4.

Summary:
The calculation puts the total DFT energy (no corrections) at -26.81 eV/cell. For the total magnetization, the calculation gives 0.003 μB per cell.

Lattice parameters (Å, degrees): 3.8394 3.8394 5.4421 90.00 90.00 90.00
Last column: nearest neighbours and their distance in Å.
Fractional coordinates of all 6 atoms:
Pr 0.0000 0.0000 0.0000  8 H 2.38
Sm 0.5000 0.5000 0.5000  8 H 2.33
H 0.0000 0.5000 0.2582  2 Sm 2.33, 2 Pr 2.38
H 0.0000 0.5000 0.7418  2 Sm 2.33, 2 Pr 2.38
H 0.5000 0.0000 0.2582  2 Sm 2.33, 2 Pr 2.38
H 0.5000 0.0000 0.7418  2 Sm 2.33, 2 Pr 2.38

=====

2.
## PrSnH (PBE)

Data for a relaxed structure of PrSnH.

Summary:
The calculation puts the total DFT energy (no corrections) at -28.27 eV/cell. For the total magnetization, the calculation gives 0.006 μB per cell.

Lattice parameters (Å, degrees): 4.3672 4.4367 6.6367 90.00 109.15 90.00
Last column: nearest neighbours and their distance in Å.
Fractional coordinates of all 6 atoms:
Pr 0.1565 0.2500 0.3115  4 H 2.45-2.54
Pr 0.8435 0.7500 0.6885  4 H 2.45-2.54
Sn 0.4267 0.2500 0.8566  2 Sn 2.86, 4 H 3.11-3.17
Sn 0.5733 0.7500 0.1434  2 Sn 2.86, 4 H 3.11-3.17
H 0.2545 0.7500 0.5088  4 Pr 2.45-2.54
H 0.7455 0.2500 0.4912  4 Pr 2.45-2.54

=====

3.
## PrTaH4 (PBE)

Data for a relaxed structure of PrTaH4.

Summary:
The calculation puts the total DFT energy (no corrections) at -31.90 eV/cell. For the total magnetization, the calculation gives 0.004 μB per cell.

Lattice parameters (Å, degrees): 3.3054 3.3054 5.4893 90.00 90.00 90.00
Last column: nearest neighbours and their distance in Å.
Fractional coordinates of all 6 atoms:
Pr 0.0000 0.0000 0.0000  8 H 2.36
Ta 0.5000 0.5000 0.5000  8 H 1.96
H 0.0000 0.5000 0.3071  2 Ta 1.96, 1 H 2.12
H 0.0000 0.5000 0.6929  2 Ta 1.96, 1 H 2.12
H 0.5000 0.0000 0.3071  2 Ta 1.96, 1 H 2.12
H 0.5000 0.0000 0.6929  2 Ta 1.96, 1 H 2.12